[1]
# Tb6Er2TmTh3 GGA-PBE relaxed
data_Tb6Er2TmTh3
_symmetry_space_group_name_H-M 'C 1 2/m 1'
_symmetry_Int_Tables_number 12
_cell_length_a 6.1662
_cell_length_b 10.6738
_cell_length_c 11.7414
_cell_angle_alpha 90.00
_cell_angle_beta 100.10
_cell_angle_gamma 90.00
loop_
_symmetry_equiv_pos_as_xyz
'x,y,z'
'-x,-y,-z'
'-x,y,-z'
'x,-y,z'
'x+1/2,y+1/2,z'
'-x+1/2,-y+1/2,-z'
'-x+1/2,y+1/2,-z'
'x+1/2,-y+1/2,z'
loop_
_atom_site_label
_atom_site_fract_x
_atom_site_fract_y
_atom_site_fract_z
_atom_site_occupancy
Tb1 0.2492 0.0000 0.2476 1
Tb2 0.2494 0.3334 0.2477 1
Er1 0.0000 0.3334 0.5000 1
Tm1 0.0000 0.0000 0.5000 1
Th1 0.0000 0.1667 0.0000 1
Th2 0.0000 0.5000 0.0000 1
# density: 9.399 g/cm3
# E_tot: -5.28 eV/atom
# DFT formation energy: 0.028 eV per atom

[2]
# TbErTmTh GGA-PBE relaxed
data_TbErTmTh
_symmetry_space_group_name_H-M 'R 3 m'
_symmetry_Int_Tables_number 160
_symmetry_space_group_name_Hall 'R 3 -2"'
_cell_length_a 3.5706
_cell_length_b 3.5706
_cell_length_c 34.0123
_cell_angle_alpha 90.00
_cell_angle_beta 90.00
_cell_angle_gamma 120.00
loop_
_atom_site_label
_atom_site_fract_x
_atom_site_fract_y
_atom_site_fract_z
_atom_site_occupancy
Tb1 0.0000 0.0000 0.0000 1
Er1 0.0000 0.0000 0.2491 1
Tm1 0.0000 0.0000 0.8323 1
Th1 0.0000 0.0000 0.4163 1
# density: 9.647 g/cm3
# E_tot: -5.27 eV/atom
# E above lowest polymorph: 0.000 eV per atom
# DFT formation energy: 0.004 eV per atom

| no. | magnetic moment (μB/cell) |
| --- | --- |
| 1 | 0.00 |
| 2 | 0.08 |